1.
DFT (meta-GGA SCAN) results for a crystal of SbOs3 relaxed with PBEsol.

Values from the calculation:
Symmetry = Pmmm, No. 47
Uncorrected formation energy = 0.68 eV/atom

Structure (POSCAR):
```
SbOs3
1.0
-2.7525 0.5562 0.5021
-0.8522 -0.9864 -3.5788
-0.7866 -5.4071 1.6776
Os Sb
3 1
direct
0.5000 0.5000 0.7294 Os
0.0000 0.0000 0.5000 Os
0.5000 0.5000 0.2706 Os
0.0000 0.0000 0.0000 Sb
```



2.
DFT (meta-GGA SCAN) results for a crystal of Fe2AsH2 relaxed with PBEsol.

Values from the calculation:
Symmetry = I4/mmm, No. 139
Calculated total energy = -62.6 eV for the cell shown

Structure (POSCAR):
```
Fe2AsH2
1.0
2.8919 0.0000 0.0000
0.0000 2.8919 0.0000
-1.4460 -1.4460 4.8380
H As Fe
2 1 2
direct
0.2500 0.7500 0.5000 H
0.7500 0.2500 0.5000 H
0.0000 0.0000 0.0000 As
0.3512 0.3512 0.7023 Fe
0.6488 0.6488 0.2977 Fe
```



3.
DFT (meta-GGA SCAN) results for a crystal of La2TeP relaxed with PBEsol.

Values from the calculation:
Energy above the lowest structure with this stoichiometry = 10.52 kcal/mol of atoms
Symmetry = P4/mmm, No. 123
Uncorrected formation energy = -1.40 eV/atom

Structure (POSCAR):
```
La2TeP
1.0
-0.3068 0.3796 -3.7257
-1.7542 -4.9674 -0.3617
-4.9618 1.7098 0.5827
La P Te
2 1 1
direct
0.0000 0.0000 0.5000 La
0.0000 0.5000 0.0000 La
0.5000 0.5000 0.5000 P
0.5000 0.0000 0.0000 Te
```



4.
DFT (meta-GGA SCAN) results for a crystal of AlZn relaxed with PBEsol.

Values from the calculation:
Symmetry = Fd-3m, No. 227
Calculated total energy = -42.0 eV for the cell shown

Structure (POSCAR):
```
AlZn
1.0
-3.4134 2.8966 -0.0815
-3.5159 -0.6064 2.7054
-0.6701 2.7682 3.4549
Zn Al
2 2
direct
0.0000 0.0000 0.0000 Zn
0.2500 0.2500 0.2500 Zn
0.5000 0.5000 0.5000 Al
0.7500 0.7500 0.7500 Al
```



5.
DFT (meta-GGA SCAN) results for a crystal of GeAs2SeS relaxed with PBEsol.

Values from the calculation:
Symmetry = P4/mmm, No. 123
Uncorrected formation energy = 0.78 eV/atom

Structure (POSCAR):
```
GeAs2SeS
1.0
4.7139 0.0000 0.0000
0.0000 4.7139 0.0000
0.0000 0.0000 4.8519
S As Ge Se
1 2 1 1
direct
0.0000 0.0000 0.0000 S
0.0000 0.5000 0.0000 As
0.5000 0.0000 0.0000 As
0.5000 0.5000 0.5000 Ge
0.0000 0.0000 0.5000 Se
```



6.
DFT (meta-GGA SCAN) results for a crystal of LaZrRu relaxed with PBEsol.

Values from the calculation:
Symmetry = F-43m, No. 216
Calculated total energy = -107.7 eV for the cell shown

Structure (POSCAR):
```
LaZrRu
1.0
-1.5422 0.6557 4.2409
-3.7807 -2.1271 1.4055
0.2813 -3.3573 3.0729
La Ru Zr
1 1 1
direct
0.0000 0.0000 0.0000 La
0.5000 0.5000 0.5000 Ru
0.2500 0.2500 0.2500 Zr
```



7.
DFT (meta-GGA SCAN) results for a crystal of LaAlFe2 relaxed with PBEsol.

Values from the calculation:
Symmetry = R3m, No. 160
Calculated total energy = -87.4 eV for the cell shown

Structure (POSCAR):
```
LaAlFe2
1.0
3.9559 0.0000 0.0000
1.9779 3.4259 0.0000
1.9779 1.1420 5.4238
Fe Al La
2 1 1
direct
0.9832 0.9832 0.0505 Fe
0.3034 0.3034 0.0897 Fe
0.7027 0.7027 0.8920 Al
0.5106 0.5106 0.4682 La
```



8.
DFT (meta-GGA SCAN) results for a crystal of H2Pd2Pb relaxed with PBEsol.

Values from the calculation:
Energy above the lowest structure with this stoichiometry = 0.00 kcal/mol of atoms
Symmetry = I4/mmm, No. 139

Structure (POSCAR):
```
H2Pd2Pb
1.0
3.5738 0.0000 0.0000
0.0000 3.5738 0.0000
-1.7869 -1.7869 4.7449
Pb H Pd
1 2 2
direct
0.0000 0.0000 0.0000 Pb
0.2500 0.7500 0.5000 H
0.7500 0.2500 0.5000 H
0.3264 0.3264 0.6527 Pd
0.6736 0.6736 0.3473 Pd
```



9.
DFT (meta-GGA SCAN) results for a crystal of CrFeOs2 relaxed with PBEsol.

Values from the calculation:
Symmetry = Amm2, No. 38
Calculated total energy = -179.8 eV for the cell shown

Structure (POSCAR):
```
CrFeOs2
1.0
2.6371 0.0000 0.0000
0.0000 3.9567 0.0000
-1.3185 0.0000 4.7273
Cr Os Fe
1 2 1
direct
0.8068 0.0000 0.6135 Cr
0.0760 0.0000 0.1520 Os
0.4254 0.5000 0.8508 Os
0.6917 0.5000 0.3834 Fe
```



10.
DFT (meta-GGA SCAN) results for a crystal of SrCa2Cr relaxed with PBEsol.

Values from the calculation:
Energy above the lowest structure with this stoichiometry = 0.00 kcal/mol of atoms
Symmetry = F-43m, No. 216

Structure (POSCAR):
```
SrCa2Cr
1.0
-4.2627 -3.6629 1.2926
0.7162 -3.8935 4.1935
-2.8706 0.5549 4.9709
Sr Ca Cr
1 2 1
direct
0.2500 0.2500 0.2500 Sr
0.0000 0.0000 0.0000 Ca
0.7500 0.7500 0.7500 Ca
0.5000 0.5000 0.5000 Cr
```



11.
DFT (meta-GGA SCAN) results for a crystal of RbPSe3 relaxed with PBEsol.

Values from the calculation:
Symmetry = Pm-3m, No. 221
Uncorrected formation energy = -0.17 eV/atom

Structure (POSCAR):
```
RbPSe3
1.0
-3.1432 2.4725 2.9513
-3.7889 -1.3096 -2.9381
-0.6840 -4.1079 2.7130
P Se Rb
1 3 1
direct
0.0000 0.0000 0.0000 P
0.0000 0.5000 0.0000 Se
0.0000 0.0000 0.5000 Se
0.5000 0.0000 0.0000 Se
0.5000 0.5000 0.5000 Rb
```



12.
DFT (meta-GGA SCAN) results for a crystal of CaSi relaxed with PBEsol.

Values from the calculation:
Symmetry = Pnma, No. 62
Uncorrected formation energy = -0.56 eV/atom

Structure (POSCAR):
```
CaSi
1.0
3.8677 0.0000 0.0000
0.0000 5.7552 0.0000
0.0000 0.0000 8.2724
Ca Si
4 4
direct
0.7500 0.8891 0.1799 Ca
0.2500 0.3891 0.3201 Ca
0.7500 0.6109 0.6799 Ca
0.2500 0.1109 0.8201 Ca
0.7500 0.3847 0.0356 Si
0.2500 0.8847 0.4644 Si
0.7500 0.1153 0.5356 Si
0.2500 0.6153 0.9644 Si
```



no.,total moment (μB/atom),ρ (g cm⁻³)
1,0.00,18.51
2,0.74,7.74
3,0.00,6.92
4,0.00,4.83
5,0.00,5.14
6,0.00,8.20
7,0.59,6.27
8,0.00,11.56
9,0.08,16.44
10,1.49,2.69
11,0.00,4.78
12,0.00,2.46